--- one ---
VASP calculation (GGA-PBE) on a relaxed structure of Hf2TaHgH.

Computed properties:
For the magnetic moment, the calculation gives 0.00 Bohr magnetons per cell. As for the volume: 99.4 Å³/cell.

Cell: 5.4418 5.4418 3.3559 Å, 90.00 90.00 90.00°
With the nearest neighbours (Å) after each atom.
Space group P4/mmm (No. 123)
One atom of each set of equivalent atoms:
1 Hf 0.0000 0.5000 0.0000  2 Ta 2.72
2 Ta 0.0000 0.0000 0.0000  2 H 1.68
3 Hg 0.5000 0.5000 0.5000  8 Hf 3.20, 2 Hg 3.36
4 H 0.0000 0.0000 0.5000  2 Ta 1.68


--- two ---
VASP calculation (GGA-PBE) on a relaxed structure of Hf2TaHgH.

Computed properties:
For the magnetic moment, the calculation gives 0.00 Bohr magnetons per cell. As for the volume: 82.4 Å³/cell.

Cell: 4.4771 4.4771 4.1126 Å, 90.00 90.00 90.00°
With the nearest neighbours (Å) after each atom.
Space group P4/mmm (No. 123)
One atom of each set of equivalent atoms:
1 Hf 0.0000 0.5000 0.0000  2 H 2.24
2 Ta 0.0000 0.0000 0.5000  2 H 2.06
3 Hg 0.5000 0.5000 0.5000  8 Hf 3.04, 4 Ta 3.17
4 H 0.0000 0.0000 0.0000  2 Ta 2.06, 4 Hf 2.24


The structure with the most favorable energy is two; the runner-up is 789 meV per atom above it.


--- one ---
VASP calculation (GGA-PBE) on a relaxed structure of HfHI2O.

Computed properties:
For the magnetic moment, the calculation gives 0.00 Bohr magnetons per cell. As for the volume: 90.2 Å³/cell.

Cell: 5.2363 5.2363 3.2888 Å, 90.00 90.00 90.00°
With the nearest neighbours (Å) after each atom.
Space group P4/mmm (No. 123)
One atom of each set of equivalent atoms:
1 Hf 0.0000 0.0000 0.0000  8 I 3.09, 2 Hf 3.29
2 H 0.5000 0.5000 0.5000  2 O 1.64
3 I 0.0000 0.5000 0.5000  2 H 2.62
4 O 0.5000 0.5000 0.0000  2 H 1.64


--- two ---
VASP calculation (GGA-PBE) on a relaxed structure of HfHI2O.

Computed properties:
For the magnetic moment, the calculation gives 1.00 Bohr magnetons per cell. As for the volume: 134.7 Å³/cell.

Cell: 5.8223 5.8223 3.9722 Å, 90.00 90.00 90.00°
With the nearest neighbours (Å) after each atom.
Space group P4/mmm (No. 123)
One atom of each set of equivalent atoms:
1 Hf 0.0000 0.0000 0.0000  2 O 1.99
2 H 0.5000 0.5000 0.5000  8 I 3.52
3 I 0.0000 0.5000 0.0000  2 Hf 2.91
4 O 0.0000 0.0000 0.5000  2 Hf 1.99


The structure with the most favorable energy is two; the runner-up is 1218 meV per atom above it.


--- one ---
VASP calculation (GGA-PBE) on a relaxed structure of HfSb2HI.

Computed properties:
For the magnetic moment, the calculation gives 0.97 Bohr magnetons per cell. As for the volume: 178.7 Å³/cell.

Cell: 5.5356 5.5356 5.8321 Å, 90.00 90.00 90.00°
With the nearest neighbours (Å) after each atom.
Space group P4/mmm (No. 123)
One atom of each set of equivalent atoms:
1 Hf 0.0000 0.0000 0.0000  4 Sb 2.77, 2 I 2.92
2 Sb 0.0000 0.5000 0.0000  2 Hf 2.77
3 H 0.5000 0.5000 0.5000  4 I 3.91, 8 Sb 4.02
4 I 0.0000 0.0000 0.5000  2 Hf 2.92


--- two ---
VASP calculation (GGA-PBE) on a relaxed structure of HfSb2HI.

Computed properties:
For the magnetic moment, the calculation gives 0.00 Bohr magnetons per cell. As for the volume: 109.7 Å³/cell.

Cell: 4.4407 4.4407 5.5628 Å, 90.00 90.00 90.00°
With the nearest neighbours (Å) after each atom.
Space group P4/mmm (No. 123)
One atom of each set of equivalent atoms:
1 Hf 0.0000 0.0000 0.0000  4 I 3.14
2 Sb 0.0000 0.5000 0.5000  2 H 2.22
3 H 0.5000 0.5000 0.5000  4 Sb 2.22
4 I 0.5000 0.5000 0.0000  2 H 2.78


The structure with the most favorable energy is two; the runner-up is 91 meV per atom above it.


--- one ---
VASP calculation (GGA-PBE) on a relaxed structure of HfInH2.

Computed properties:
For the magnetic moment, the calculation gives 0.00 Bohr magnetons per cell. As for the volume: 161.5 Å³/cell.

Cell: 3.3421 3.3421 16.6929 Å, 90.00 90.00 120.00°
With the nearest neighbours (Å) after each atom.
Space group R3m (No. 160, hexagonal axes)
One atom of each set of equivalent atoms:
1 Hf 0.0000 0.0000 0.0000  6 H 1.93-2.04
2 In 0.0000 0.0000 0.8190  4 Hf 3.02-3.19, 7 H 3.04-3.27, 6 In 3.34
3 H 0.0000 0.0000 0.3274  3 Hf 1.93, 3 H 2.01
4 H 0.0000 0.0000 0.6264  3 H 2.01, 3 Hf 2.04


--- two ---
VASP calculation (GGA-PBE) on a relaxed structure of HfInH2.

Computed properties:
For the magnetic moment, the calculation gives 0.00 Bohr magnetons per cell. As for the volume: 218.6 Å³/cell.

Cell: 4.5633 4.5633 10.4971 Å, 90.00 90.00 90.00°
With the nearest neighbours (Å) after each atom.
Space group I-42d (No. 122)
One atom of each set of equivalent atoms:
1 Hf 0.0000 0.0000 0.0000  4 H 1.86
2 In 0.0000 0.0000 0.5000  4 H 2.37
3 H 0.1473 0.2500 0.1250  2 Hf 1.86


--- three ---
VASP calculation (GGA-PBE) on a relaxed structure of HfInH2.

Computed properties:
For the magnetic moment, the calculation gives 0.00 Bohr magnetons per cell. As for the volume: 199.1 Å³/cell.

Cell: 5.8390 5.8390 5.8390 Å, 90.00 90.00 90.00°
With the nearest neighbours (Å) after each atom.
Space group Fm-3m (No. 225)
One atom of each set of equivalent atoms:
1 Hf 0.0000 0.0000 0.0000  8 H 2.53
2 In 0.0000 0.0000 0.5000  8 H 2.53
3 H 0.2500 0.2500 0.2500  4 Hf 2.53, 4 In 2.53


The structure with the most favorable energy is one; the runner-up is 263 meV per atom above it.


--- one ---
VASP calculation (GGA-PBE) on a relaxed structure of Hf3InH2.

Computed properties:
For the magnetic moment, the calculation gives 0.00 Bohr magnetons per cell. As for the volume: 195.5 Å³/cell.

Cell: 6.0213 3.1931 10.2624 Å, 90.00 97.71 90.00°
With the nearest neighbours (Å) after each atom.
Space group P2_1/m (No. 11)
One atom of each set of equivalent atoms:
1 Hf 0.0437 0.2500 0.3645  2 H 2.06-2.17
2 Hf 0.2314 0.2500 0.8851  2 H 1.94
3 Hf 0.3909 0.2500 0.6191  3 H 2.03-2.10
4 In 0.2815 0.7500 0.1424  2 H 2.63, 1 Hf 2.93
5 H 0.0585 0.7500 0.8348  3 Hf 1.94-2.06
6 H 0.4033 0.2500 0.4225  4 Hf 2.03-2.17


--- two ---
VASP calculation (GGA-PBE) on a relaxed structure of Hf3InH2.

Computed properties:
For the magnetic moment, the calculation gives 0.00 Bohr magnetons per cell. As for the volume: 375.9 Å³/cell.

Cell: 9.1134 9.4704 4.3553 Å, 90.00 90.00 90.00°
With the nearest neighbours (Å) after each atom.
Space group Cmcm (No. 63)
One atom of each set of equivalent atoms:
1 Hf 0.0000 0.1281 0.2500  4 H 2.02
2 Hf 0.2339 0.3699 0.2500  2 H 2.05
3 In 0.0000 0.3540 0.7500  10 Hf 3.05-3.37
4 H 0.1311 0.0000 0.0000  4 Hf 2.02-2.05, 2 H 2.18


The structure with the most favorable energy is two; the runner-up is 95 meV per atom above it.


--- one ---
VASP calculation (GGA-PBE) on a relaxed structure of HfNb2InH.

Computed properties:
For the magnetic moment, the calculation gives 0.00 Bohr magnetons per cell. As for the volume: 80.6 Å³/cell.

Cell: 4.1721 4.1721 4.6289 Å, 90.00 90.00 90.00°
With the nearest neighbours (Å) after each atom.
Space group P4/mmm (No. 123)
One atom of each set of equivalent atoms:
1 Hf 0.0000 0.0000 0.0000  2 H 2.31
2 Nb 0.0000 0.5000 0.5000  2 H 2.09
3 In 0.5000 0.5000 0.0000  4 Hf 2.95, 8 Nb 3.12
4 H 0.0000 0.0000 0.5000  4 Nb 2.09, 2 Hf 2.31


--- two ---
VASP calculation (GGA-PBE) on a relaxed structure of HfNb2InH.

Computed properties:
For the magnetic moment, the calculation gives 0.00 Bohr magnetons per cell. As for the volume: 81.7 Å³/cell.

Cell: 4.1239 4.1239 4.8047 Å, 90.00 90.00 90.00°
With the nearest neighbours (Å) after each atom.
Space group P4/mmm (No. 123)
One atom of each set of equivalent atoms:
1 Hf 0.0000 0.0000 0.0000  4 In 2.92, 8 Nb 3.17
2 Nb 0.0000 0.5000 0.5000  2 H 2.06
3 In 0.5000 0.5000 0.0000  2 H 2.40
4 H 0.5000 0.5000 0.5000  4 Nb 2.06


The structure with the most favorable energy is one; the runner-up is 96 meV per atom above it.